Entry 1:
# BiAs2S4

A relaxed BiAs2S4 crystal (PBE, the Alexandria database).

Cell lengths 8.5909, 8.2019, 7.6239 Å; angles 82.09, 67.51, 51.45 degrees
Last column: nearest neighbours and their distance in Å.
Sites, in units of the cell vectors:
Bi 0.7393 0.4320 0.5255  4 S 2.61-2.85
Bi 0.9397 0.9916 0.0793  3 S 2.60-2.84
As 0.8726 0.7340 0.7425  2 S 2.21-2.27
As 0.3705 0.1692 0.1823  2 S 2.29-2.31
As 0.3804 0.6731 0.2856  2 S 2.25-2.31
As 0.3957 0.2542 0.8383  2 S 2.27-2.28
S 0.6002 0.2893 0.3556  1 As 2.58, 2 Bi 2.60-2.80
S 0.1506 0.0814 0.2375  1 As 2.29
S 0.3095 0.7516 0.5917  1 As 2.25
S 0.9650 0.4163 0.7290  1 As 2.21
S 0.0956 0.6935 0.2976  1 As 2.31
S 0.5492 0.9254 0.7144  2 As 2.27-2.28
S 0.6731 0.2438 0.8169  1 As 2.27
S 0.7084 0.8446 0.1036  2 As 2.31-2.55

Properties
Calculated total energy: -61.22 eV for the cell shown
Crystal system: triclinic
Formation energy without anion corrections: -0.1318 eV/atom
V: 384.4 Å³ per cell
Space-group type: No. 1



Entry 2:
# BiAs3S6

A relaxed BiAs3S6 crystal (PBE, the Alexandria database).

Cell lengths 3.7271, 11.9161, 11.4836 Å; angles 108.98, 90.00, 90.00 degrees
Last column: nearest neighbours and their distance in Å.
Sites, in units of the cell vectors:
Bi 0.7500 0.0120 0.6776  4 S 2.70-2.97
Bi 0.2500 0.9880 0.3224  4 S 2.70-2.97
As 0.7500 0.4387 0.8592  4 S 2.46-2.64
As 0.2500 0.5613 0.1408  4 S 2.46-2.64
As 0.7500 0.6823 0.4157  3 S 2.26-2.45
As 0.2500 0.3177 0.5843  3 S 2.26-2.45
As 0.7500 0.1343 0.1065  3 S 2.26-2.46
As 0.2500 0.8657 0.8935  3 S 2.26-2.46
S 0.7500 0.4588 0.6449  3 As 2.45-2.55
S 0.2500 0.5412 0.3551  3 As 2.45-2.55
S 0.7500 0.9430 0.1027  1 As 2.26
S 0.2500 0.0570 0.8973  1 As 2.26
S 0.7500 0.4189 0.0815  3 As 2.46-2.64
S 0.2500 0.5811 0.9185  3 As 2.46-2.64
S 0.7500 0.7390 0.2459  1 As 2.26
S 0.2500 0.2610 0.7541  1 As 2.26
S 0.7500 0.1192 0.4773  3 Bi 2.70-2.97, 2 As 2.95
S 0.2500 0.8808 0.5227  3 Bi 2.70-2.97, 2 As 2.95
S 0.7500 0.8056 0.7469  2 As 2.46
S 0.2500 0.1944 0.2531  2 As 2.46

Properties
Calculated total energy: -88.12 eV for the cell shown
Crystal system: monoclinic
Formation energy without anion corrections: -0.1467 eV/atom
V: 482.3 Å³ per cell
Space-group type: No. 11



Entry 3:
# Bi3As2S2

A relaxed Bi3As2S2 crystal (PBE, the Alexandria database).

Cell lengths 4.1737, 6.8193, 8.5721 Å; angles 105.77, 92.00, 110.24 degrees
Last column: nearest neighbours and their distance in Å.
Sites, in units of the cell vectors:
Bi 0.0000 0.0000 0.0000  2 S 2.84, 4 As 2.98-2.99
Bi 0.7335 0.5398 0.2712  2 S 2.66-2.91, 1 As 2.79
Bi 0.2665 0.4602 0.7288  2 S 2.66-2.91, 1 As 2.79
As 0.6642 0.3027 0.9428  4 Bi 2.79-3.06, 1 As 3.04
As 0.3358 0.6973 0.0572  4 Bi 2.79-3.06, 1 As 3.04
S 0.8694 0.7176 0.6744  3 Bi 2.66-2.91
S 0.1306 0.2824 0.3256  3 Bi 2.66-2.91

Properties
Calculated total energy: -29.64 eV for the cell shown
Crystal system: triclinic
Formation energy without anion corrections: -0.0639 eV/atom
V: 218.0 Å³ per cell
Space-group type: No. 2



Entry 4:
# BiAsSe2S

A relaxed BiAsSe2S crystal (PBE, the Alexandria database).

Cell lengths 4.8762, 4.8762, 4.9399 Å; angles 90.00, 90.00, 90.00 degrees
Last column: nearest neighbours and their distance in Å.
Sites, in units of the cell vectors:
S 0.0000 0.0000 0.0000  4 Se 2.44, 2 As 2.47
As 0.0000 0.0000 0.5000  2 S 2.47
Bi 0.5000 0.5000 0.5000  4 As 3.45, 8 Se 3.47
Se 0.0000 0.5000 0.0000  2 S 2.44
Se 0.5000 0.0000 0.0000  2 S 2.44

Properties
Calculated total energy: -17.69 eV for the cell shown
Crystal system: tetragonal
Formation energy without anion corrections: 0.3879 eV/atom
V: 117.5 Å³ per cell
Space-group type: No. 123



Entry 5:
# BiAsSe2S

A relaxed BiAsSe2S crystal (PBE, the Alexandria database).

Cell lengths 5.5533, 5.5533, 5.5734 Å; angles 90.00, 90.00, 90.00 degrees
Last column: nearest neighbours and their distance in Å.
Sites, in units of the cell vectors:
S 0.5000 0.5000 0.5000  4 As 3.93, 8 Se 3.93
As 0.0000 0.0000 0.5000  2 Bi 2.79
Bi 0.0000 0.0000 0.0000  4 Se 2.78, 2 As 2.79
Se 0.0000 0.5000 0.0000  2 Bi 2.78
Se 0.5000 0.0000 0.0000  2 Bi 2.78

Properties
Calculated total energy: -13.98 eV for the cell shown
Crystal system: tetragonal
Formation energy without anion corrections: 1.1302 eV/atom
V: 171.9 Å³ per cell
Space-group type: No. 123



Entry 6:
# Sm4BiAsS2

A relaxed Sm4BiAsS2 crystal (PBE, the Alexandria database).

Cell lengths 4.2026, 7.2447, 7.3385 Å; angles 70.48, 90.00, 90.00 degrees
Last column: nearest neighbours and their distance in Å.
Sites, in units of the cell vectors:
Sm 0.0000 0.7720 0.7272  3 S 2.84-2.99, 1 As 2.98, 2 Bi 3.11
Sm 0.0000 0.2280 0.2728  3 S 2.84-2.99, 1 As 2.98, 2 Bi 3.11
Sm 0.5000 0.7600 0.2602  3 S 2.86-2.98, 2 As 2.97, 1 Bi 3.10
Sm 0.5000 0.2400 0.7398  3 S 2.86-2.98, 2 As 2.97, 1 Bi 3.10
Bi 0.5000 0.5000 0.0000  6 Sm 3.10-3.11
As 0.0000 0.5000 0.5000  6 Sm 2.97-2.98
S 0.0000 0.0000 0.0000  6 Sm 2.98-2.99
S 0.5000 0.0000 0.5000  6 Sm 2.84-2.86

Properties
Calculated total energy: -48.30 eV for the cell shown
Crystal system: monoclinic
Formation energy without anion corrections: -1.5799 eV/atom
V: 210.6 Å³ per cell
Space-group type: No. 10



Entry 7:
# Sm6BiAs2S3

A relaxed Sm6BiAs2S3 crystal (PBE, the Alexandria database).

Cell lengths 4.1781, 8.3591, 9.3272 Å; angles 102.49, 102.94, 90.00 degrees
Last column: nearest neighbours and their distance in Å.
Sites, in units of the cell vectors:
Sm 0.3250 0.9102 0.6500  3 S 2.84-2.98, 2 As 2.95, 1 Bi 3.10
Sm 0.6673 0.5832 0.3347  3 As 2.93-2.95, 3 S 2.96-2.97
Sm 0.6750 0.0898 0.3500  3 S 2.84-2.98, 2 As 2.95, 1 Bi 3.10
Sm 0.0005 0.2729 0.0010  3 S 2.82-2.94, 1 As 2.96, 2 Bi 3.09
Sm 0.9995 0.7271 0.9990  3 S 2.82-2.94, 1 As 2.96, 2 Bi 3.09
Sm 0.3327 0.4168 0.6653  3 As 2.93-2.95, 3 S 2.96-2.97
Bi 0.5000 0.0000 0.0000  6 Sm 3.09-3.10
As 0.8328 0.6662 0.6656  6 Sm 2.93-2.96
As 0.1672 0.3338 0.3344  6 Sm 2.93-2.96
S 0.5000 0.5000 0.0000  6 Sm 2.82-2.97
S 0.8353 0.1680 0.6706  6 Sm 2.84-2.98
S 0.1647 0.8320 0.3294  6 Sm 2.84-2.98

Properties
Calculated total energy: -73.71 eV for the cell shown
Crystal system: monoclinic
Formation energy without anion corrections: -1.6524 eV/atom
V: 309.6 Å³ per cell
Space-group type: No. 12



Entry 8:
# Tb3BiAsS

A relaxed Tb3BiAsS crystal (PBE, the Alexandria database).

Cell lengths 4.3612, 8.5166, 9.5767 Å; angles 102.14, 90.00, 90.00 degrees
Last column: nearest neighbours and their distance in Å.
Sites, in units of the cell vectors:
Tb 0.2500 0.7790 0.4947  3 S 2.61-2.75
Tb 0.7500 0.8886 0.1290  1 S 2.62
Tb 0.7500 0.4317 0.1498  3 As 2.84-2.92
Tb 0.7500 0.2210 0.5053  3 S 2.61-2.75
Tb 0.2500 0.5683 0.8502  3 As 2.84-2.92
Tb 0.2500 0.1114 0.8710  1 S 2.62
Bi 0.7500 0.8173 0.7805  7 Tb 3.21-3.46
Bi 0.2500 0.1827 0.2195  7 Tb 3.21-3.46
As 0.2500 0.6596 0.1528  5 Tb 2.84-2.97
As 0.7500 0.3404 0.8472  5 Tb 2.84-2.97
S 0.2500 0.1067 0.5961  4 Tb 2.61-2.75
S 0.7500 0.8933 0.4039  4 Tb 2.61-2.75

Properties
Calculated total energy: -67.70 eV for the cell shown
Crystal system: monoclinic
Formation energy without anion corrections: -1.2172 eV/atom
V: 347.7 Å³ per cell
Space-group type: No. 11



Among the records above, which one has the highest calculated total energy?
number 5



Which formula does entry 2 have?
BiAs3S6



Among the records above, which one has the lowest formation energy without anion corrections?
Sm6BiAs2S3



Please write out number 5 again, unchanged.
# BiAsSe2S

A relaxed BiAsSe2S crystal (PBE, the Alexandria database).

Cell lengths 5.5533, 5.5533, 5.5734 Å; angles 90.00, 90.00, 90.00 degrees
Last column: nearest neighbours and their distance in Å.
Sites, in units of the cell vectors:
S 0.5000 0.5000 0.5000  4 As 3.93, 8 Se 3.93
As 0.0000 0.0000 0.5000  2 Bi 2.79
Bi 0.0000 0.0000 0.0000  4 Se 2.78, 2 As 2.79
Se 0.0000 0.5000 0.0000  2 Bi 2.78
Se 0.5000 0.0000 0.0000  2 Bi 2.78

Properties
Calculated total energy: -13.98 eV for the cell shown
Crystal system: tetragonal
Formation energy without anion corrections: 1.1302 eV/atom
V: 171.9 Å³ per cell
Space-group type: No. 123